A plane-wave DFT calculation with meta-GGA SCAN was carried out for a crystal of HoGaAu relaxed with PBEsol.

Unit cell a=5.595 b=5.595 c=6.969 alpha=127.52 beta=127.52 gamma=46.44
Atoms (fractional coordinates):
Ho 0.039 0.039 0.299
Ho 0.961 0.961 0.701
Ga 0.342 0.342 0.897
Ga 0.658 0.658 0.103
Au 0.324 0.324 0.285
Au 0.676 0.676 0.715

Summary:
Formation enthalpy at 0 K (meV/atom): -1013
Calculated volume (Å³ per cell): 118.4